Material: TiCd2B
Method: DFT, PBE-GGA
State: relaxed

a b c (Å): 7.820 7.820 6.001
angles (deg): 49.34 49.34 90.00
Atoms (fractional coordinates):
B 0.500 0.500 0.000
B 0.250 0.750 0.500
Ti 0.000 0.000 0.000
Ti 0.750 0.250 0.500
Cd 0.531 0.125 0.250
Cd 0.219 0.625 0.250
Cd 0.375 0.469 0.750
Cd 0.875 0.781 0.750

Formation enthalpy at 0 K: 0.516 eV/atom